# 1
12
Lattice="9.0358 -2.0699 0.0000 9.0358 2.0699 0.0000 -1.9245 0.0000 8.0938" Properties=species:S:1:pos:R:3 comment="Th6Ir3OsPt2 | Alexandria via LeMat-Bulk | PBE | relaxed" crystal_system=monoclinic space_group="C2/m (12)" pbc="T T T"
Th -0.4366 0.0000 2.0755
Th 5.2717 0.0000 3.4358
Th 4.3341 0.0000 7.3661
Th 11.8131 0.0000 0.7277
Th 10.8755 0.0000 4.6580
Th 16.5838 0.0000 6.0184
Ir 2.4440 0.0000 2.6958
Ir 9.0358 0.0000 0.0000
Ir 13.7032 0.0000 5.3980
Os 8.0736 0.0000 4.0469
Pt 1.4297 0.0000 6.7788
Pt 14.7175 0.0000 1.3150



# 2
5
Lattice="4.6884 0.0000 0.0000 0.0000 4.6884 0.0000 0.0000 0.0000 4.6666" Properties=species:S:1:pos:R:3 comment="IrOsPtW2 | Alexandria via LeMat-Bulk | PBE | relaxed" crystal_system=tetragonal space_group="P4/mmm (123)" pbc="T T T"
Ir 0.0000 0.0000 0.0000
Os 0.0000 0.0000 2.3333
Pt 2.3442 2.3442 2.3333
W 0.0000 2.3442 0.0000
W 2.3442 0.0000 0.0000



no.,energy of formation (eV per atom)
1,-0.95
2,2.05